PBE YCdInPb, relaxed; raw total energy = -3.818 eV per atom; V = 25.84 Å³/atom; magnetization = 0.0 μB/f.u.; space-group type = Pmmm, No. 47; calculated formation energy = -361.6 meV per atom
1.0
4.5630 0.0000 0.0000
0.0000 4.6828 0.0000
0.0000 0.0000 4.8366
Y Cd In Pb
1 1 1 1
Cartesian
0.0000 0.0000 0.0000 Y
0.0000 2.3414 2.4183 Cd
2.2815 0.0000 2.4183 In
2.2815 2.3414 0.0000 Pb

PBE MgBeTe2, relaxed; raw total energy = -2.620 eV per atom; distance to the lowest polymorph of the same formula = 0.8555 eV per atom; V = 22.59 Å³/atom; magnetization = 0.0 μB/f.u.; space-group type = Fm-3m, No. 225; raw formation energy = 0.28 eV per atom
1.0
0.0000 3.5614 3.5614
3.5614 0.0000 3.5614
3.5614 3.5614 0.0000
Mg Be Te
1 1 2
Cartesian
0.0000 0.0000 0.0000 Mg
3.5614 3.5614 3.5614 Be
1.7807 1.7807 1.7807 Te
5.3421 5.3421 5.3421 Te

PBE Be3NiRu, relaxed; raw total energy = -4.812 eV per atom; distance to the lowest polymorph of the same formula = 0.0000 eV per atom; V = 11.05 Å³/atom; magnetization = 0.0 μB/f.u.; space-group type = Pm-3m, No. 221; calculated formation energy = 435.6 meV per atom
1.0
3.8087 0.0000 0.0000
0.0000 3.8087 0.0000
0.0000 0.0000 3.8087
Be Ni Ru
3 1 1
Cartesian
0.0000 0.0000 1.9044 Be
0.0000 1.9044 0.0000 Be
1.9044 0.0000 0.0000 Be
0.0000 0.0000 0.0000 Ni
1.9044 1.9044 1.9044 Ru

PBE LiAlH3, relaxed; raw total energy = -3.208 eV per atom; distance to the lowest polymorph of the same formula = 0.0000 eV per atom; V = 9.63 Å³/atom; magnetization = 0.0 μB/f.u.; space-group type = Cmc2_1, No. 36
1.0
1.7616 -6.1130 0.0000
1.7616 6.1130 0.0000
0.0000 0.0000 4.4698
Li Al H
2 2 6
Cartesian
1.7616 3.7966 2.2349 Li
1.7616 -3.7966 0.0000 Li
1.7616 0.9366 2.2368 Al
1.7616 -0.9366 0.0019 Al
1.7616 5.4426 0.0061 H
1.7616 2.1599 3.4035 H
1.7616 2.1556 1.0661 H
1.7616 -2.1556 3.3009 H
1.7616 -2.1599 1.1686 H
1.7616 -5.4426 2.2409 H

PBE ScMnSe, relaxed; raw total energy = -6.801 eV per atom; distance to the lowest polymorph of the same formula = 0.0479 eV per atom; V = 18.15 Å³/atom; magnetization = 3.5 μB/f.u.; space-group type = I4mm, No. 107; raw formation energy = -0.47 eV per atom
1.0
-1.7022 1.7022 4.6972
1.7022 -1.7022 4.6972
1.7022 1.7022 -4.6972
Sc Mn Se
1 1 1
Cartesian
0.0000 0.0000 0.0000 Sc
0.0000 0.0000 3.0238 Mn
0.0000 0.0000 6.3018 Se

PBE PaNi9Sn2, relaxed; raw total energy = -6.062 eV per atom; V = 13.72 Å³/atom; magnetization = 0.0 μB/f.u.; space-group type = R-3m, No. 166; calculated formation energy = -267.5 meV per atom
1.0
2.4508 1.4150 7.9111
-2.4508 1.4150 7.9111
0.0000 -2.8299 7.9111
Pa Ni Sn
1 9 2
Cartesian
0.0000 0.0000 0.0000 Pa
-1.2347 -0.7129 9.9091 Ni
0.0000 0.0000 7.9193 Ni
0.0000 -1.4257 13.8243 Ni
-1.2347 0.7129 13.8243 Ni
0.0000 0.0000 11.8667 Ni
1.2347 -0.7129 9.9092 Ni
0.0000 1.4257 9.9092 Ni
0.0000 0.0000 15.8141 Ni
1.2347 0.7129 13.8243 Ni
0.0000 0.0000 3.2924 Sn
0.0000 0.0000 20.4410 Sn

PBE Pr12Sm2Y, relaxed; raw total energy = -4.575 eV per atom; V = 38.04 Å³/atom; magnetization = 0.0 μB/f.u.; space-group type = P4/nbm, No. 125; calculated formation energy = 308.8 meV per atom
1.0
6.6495 0.0000 0.0000
0.0000 6.6495 0.0000
0.0000 0.0000 25.8092
Pr Sm Y
24 4 2
Cartesian
0.4379 3.7627 2.9312 Pr
0.4379 6.2116 22.8780 Pr
0.5458 3.8705 14.5150 Pr
0.5458 6.1038 11.2942 Pr
1.6624 1.6624 5.5356 Pr
1.6624 1.6624 8.6995 Pr
1.6624 1.6624 17.1097 Pr
1.6624 1.6624 20.2736 Pr
2.7790 3.8705 11.2942 Pr
2.7790 6.1038 14.5150 Pr
2.8869 3.7627 22.8780 Pr
2.8869 6.2116 2.9312 Pr
3.7627 0.4379 22.8780 Pr
3.7627 2.8869 2.9312 Pr
3.8705 0.5458 11.2942 Pr
3.8705 2.7790 14.5150 Pr
4.9871 4.9871 5.5356 Pr
4.9871 4.9871 8.6995 Pr
4.9871 4.9871 17.1097 Pr
4.9871 4.9871 20.2736 Pr
6.1038 0.5458 14.5150 Pr
6.1038 2.7790 11.2942 Pr
6.2116 0.4379 2.9312 Pr
6.2116 2.8869 22.8780 Pr
1.6624 4.9871 6.9277 Sm
1.6624 4.9871 18.8815 Sm
4.9871 1.6624 6.9277 Sm
4.9871 1.6624 18.8815 Sm
1.6624 4.9871 0.0000 Y
4.9871 1.6624 0.0000 Y

PBE In5Ga2Sn, relaxed; raw total energy = -2.916 eV per atom; V = 25.59 Å³/atom; magnetization = 0.0 μB/f.u.; space-group type = P-1, No. 2; calculated formation energy = 52.3 meV per atom
1.0
4.3301 0.0000 0.0000
-1.1137 6.3420 0.0000
-0.1732 -1.9915 7.4558
In Ga Sn
5 2 1
Cartesian
0.0000 0.0000 0.0000 In
1.8395 -0.7097 5.4249 In
1.6856 1.8685 2.0054 In
1.3575 2.4820 5.4503 In
1.2037 5.0602 2.0309 In
-0.8925 3.7158 3.6703 Ga
3.9357 0.6347 3.7855 Ga
-0.5569 3.1710 0.0000 Sn

PBE LiReICl2, relaxed; raw total energy = -3.458 eV per atom; V = 25.22 Å³/atom; magnetization = 4.9 μB/f.u.; space-group type = P4/mmm, No. 123; raw formation energy = 0.46 eV per atom
1.0
4.4096 0.0000 0.0000
0.0000 4.4096 0.0000
0.0000 0.0000 6.4855
Li Re I Cl
1 1 1 2
Cartesian
0.0000 0.0000 0.0000 Li
0.0000 0.0000 3.2427 Re
2.2048 2.2048 3.2427 I
0.0000 2.2048 0.0000 Cl
2.2048 0.0000 0.0000 Cl

PBE Cr2MoRh, relaxed; raw total energy = -9.283 eV per atom; V = 13.75 Å³/atom; magnetization = 3.2 μB/f.u.; space-group type = P4/mmm, No. 123; calculated formation energy = 74.1 meV per atom
1.0
4.2168 0.0000 0.0000
0.0000 4.2168 0.0000
0.0000 0.0000 3.0936
Cr Mo Rh
2 1 1
Cartesian
0.0000 2.1084 0.0000 Cr
2.1084 0.0000 0.0000 Cr
0.0000 0.0000 1.5468 Mo
2.1084 2.1084 1.5468 Rh

PBE NdTh2Zn9, relaxed; raw total energy = -2.847 eV per atom; V = 19.35 Å³/atom; magnetization = 0.0 μB/f.u.; space-group type = R-3m, No. 166; calculated formation energy = -258.0 meV per atom
1.0
2.7593 1.5931 8.8061
-2.7593 1.5931 8.8061
0.0000 -3.1861 8.8061
Nd Th Zn
1 2 9
Cartesian
0.0000 0.0000 0.0000 Nd
0.0000 0.0000 3.8200 Th
0.0000 0.0000 22.5982 Th
-1.4044 -0.8108 10.9367 Zn
0.0000 0.0000 8.8591 Zn
0.0000 -1.6217 15.4814 Zn
-1.4044 0.8108 15.4814 Zn
0.0000 0.0000 13.2091 Zn
1.4044 -0.8108 10.9367 Zn
0.0000 1.6217 10.9367 Zn
0.0000 0.0000 17.5590 Zn
1.4044 0.8108 15.4814 Zn

PBE LaEr2B6, relaxed; raw total energy = -6.450 eV per atom; V = 12.49 Å³/atom; magnetization = 0.0 μB/f.u.; space-group type = P6/mmm, No. 191; calculated formation energy = -436.7 meV per atom
1.0
5.7117 0.0000 0.0000
-2.8559 4.9465 0.0000
0.0000 0.0000 3.9786
La Er B
1 2 6
Cartesian
0.0000 0.0000 0.0000 La
0.0000 3.2977 0.0000 Er
2.8559 1.6488 0.0000 Er
-0.9781 1.6941 1.9893 B
-1.8778 3.2524 1.9893 B
1.9562 0.0000 1.9893 B
0.9781 1.6941 1.9893 B
3.7556 0.0000 1.9893 B
1.8778 3.2524 1.9893 B

What did the sixth record say?
PBE PaNi9Sn2, relaxed; raw total energy = -6.062 eV per atom; V = 13.72 Å³/atom; magnetization = 0.0 μB/f.u.; space-group type = R-3m, No. 166; calculated formation energy = -267.5 meV per atom
1.0
2.4508 1.4150 7.9111
-2.4508 1.4150 7.9111
0.0000 -2.8299 7.9111
Pa Ni Sn
1 9 2
Cartesian
0.0000 0.0000 0.0000 Pa
-1.2347 -0.7129 9.9091 Ni
0.0000 0.0000 7.9193 Ni
0.0000 -1.4257 13.8243 Ni
-1.2347 0.7129 13.8243 Ni
0.0000 0.0000 11.8667 Ni
1.2347 -0.7129 9.9092 Ni
0.0000 1.4257 9.9092 Ni
0.0000 0.0000 15.8141 Ni
1.2347 0.7129 13.8243 Ni
0.0000 0.0000 3.2924 Sn
0.0000 0.0000 20.4410 Sn